Below is a PBEsol-optimized structure of TaCoAsSe2, with properties calculated at the SCAN level.

Results
- Uncorrected energy: -28.256 eV/atom
- Total magnetization: 2.86 μB per cell
- Fermi-level density of states: 4.66 states/eV/cell
- Uncorrected formation energy: 0.591 eV/atom
- Calculated density: 6.5 g/cm³
- Volume: 120.0 Å³/f.u.
- Space group: P4/mmm (123)

Structure (POSCAR):
```
TaCoAsSe2
1.0
4.897 0.000 0.000
0.000 4.897 0.000
0.000 0.000 5.003
Ta Co As Se
1 1 1 2
Direct
0.000 0.000 0.000
0.500 0.500 0.500
0.000 0.000 0.500
0.000 0.500 0.000
0.500 0.000 0.000
```